[1]
# CaGaHg2, optimized geometry, DFT PBE-GGA
data_CaGaHg2
_cell_length_a 4.680
_cell_length_b 4.680
_cell_length_c 4.395
_cell_angle_alpha 90.00
_cell_angle_beta 90.00
_cell_angle_gamma 90.00
_symmetry_space_group_name_H-M 'P 1'
_symmetry_Int_Tables_number 1
loop_
_symmetry_equiv_pos_as_xyz
'x,y,z'
loop_
_atom_site_label
_atom_site_type_symbol
_atom_site_fract_x
_atom_site_fract_y
_atom_site_fract_z
Ca1 Ca 0.000 0.000 0.000
Ga1 Ga 0.500 0.500 0.000
Hg1 Hg 0.000 0.500 0.500
Hg2 Hg 0.500 0.000 0.500
# ΔE_f (eV per atom): -0.314
# Final energy (Ha/atom): -0.0633


[2]
# CaGaHg6, optimized geometry, DFT PBE-GGA
data_CaGaHg6
_cell_length_a 5.032
_cell_length_b 5.763
_cell_length_c 7.875
_cell_angle_alpha 107.30
_cell_angle_beta 90.53
_cell_angle_gamma 110.92
_symmetry_space_group_name_H-M 'P 1'
_symmetry_Int_Tables_number 1
loop_
_symmetry_equiv_pos_as_xyz
'x,y,z'
loop_
_atom_site_label
_atom_site_type_symbol
_atom_site_fract_x
_atom_site_fract_y
_atom_site_fract_z
Ca1 Ca 0.000 0.000 0.000
Ga1 Ga 0.000 0.000 0.500
Hg1 Hg 0.235 0.465 0.378
Hg2 Hg 0.261 0.523 0.868
Hg3 Hg 0.497 0.975 0.271
Hg4 Hg 0.503 0.025 0.729
Hg5 Hg 0.739 0.477 0.132
Hg6 Hg 0.765 0.535 0.622
# ΔE_f (eV per atom): -0.165
# Final energy (Ha/atom): -0.0375


[3]
# Ca5GaHg2, optimized geometry, DFT PBE-GGA
data_Ca5GaHg2
_cell_length_a 6.942
_cell_length_b 13.162
_cell_length_c 5.200
_cell_angle_alpha 90.00
_cell_angle_beta 90.00
_cell_angle_gamma 90.00
_symmetry_space_group_name_H-M 'P 1'
_symmetry_Int_Tables_number 1
loop_
_symmetry_equiv_pos_as_xyz
'x,y,z'
loop_
_atom_site_label
_atom_site_type_symbol
_atom_site_fract_x
_atom_site_fract_y
_atom_site_fract_z
Ca1 Ca 0.000 0.000 0.000
Ca2 Ca 0.131 0.281 0.000
Ca3 Ca 0.170 0.599 0.500
Ca4 Ca 0.330 0.099 0.500
Ca5 Ca 0.369 0.781 0.000
Ca6 Ca 0.500 0.500 0.000
Ca7 Ca 0.631 0.219 0.000
Ca8 Ca 0.670 0.901 0.500
Ca9 Ca 0.830 0.401 0.500
Ca10 Ca 0.869 0.719 0.000
Ga1 Ga 0.000 0.500 0.000
Ga2 Ga 0.500 0.000 0.000
Hg1 Hg 0.132 0.858 0.500
Hg2 Hg 0.368 0.358 0.500
Hg3 Hg 0.632 0.642 0.500
Hg4 Hg 0.868 0.142 0.500
# ΔE_f (eV per atom): -0.395
# Final energy (Ha/atom): -0.0772